PuNiAg PBE-GGA optimized geometry; calculated density = 12.31 Mg/m³; volume = 18.5 Å³ per atom; N(E_F) = 7.171 states/eV/f.u.; calculated total energy = -7.5736 eV/atom; magnetization = 5.08 μB per formula unit; E_form = 0.08 eV per atom
1.0
3.0990 0.0000 0.0000
0.0000 3.0990 0.0000
-1.5495 -1.5495 5.7672
Ni Ag Pu
1 1 1
Direct
0.6631 0.6631 0.3262 Ni
0.0229 0.0229 0.0458 Ag
0.3140 0.3140 0.6280 Pu